Entry 1:
Computed, not measured: an optimized crystal structure of BaLiTlPt2 at the PBE level of DFT.

The structure in POSCAR format:
```
BaLiTlPt2
1.0
5.2458 0.0000 0.0000
0.0000 5.2458 0.0000
0.0000 0.0000 5.9965
Ba Li Tl Pt
1 1 1 2
direct
0.0000 0.0000 0.0000
0.5000 0.5000 0.0000
0.0000 0.0000 0.5000
0.0000 0.5000 0.5000
0.5000 0.0000 0.5000
```

Calculated values
* space group: P4/mmm (123)
* E_form: 0.511 eV per atom
* total DFT energy (no corrections): -3.146 eV per atom



Entry 2:
Computed, not measured: an optimized crystal structure of Ba2LiTlPt at the PBE level of DFT.

The structure in POSCAR format:
```
Ba2LiTlPt
1.0
6.1942 0.0000 0.0000
0.0000 6.1942 0.0000
0.0000 0.0000 5.3392
Ba Li Tl Pt
2 1 1 1
direct
0.0000 0.5000 0.0000
0.5000 0.0000 0.0000
0.0000 0.0000 0.5000
0.5000 0.5000 0.5000
0.5000 0.5000 0.0000
```

Calculated values
* space group: P4/mmm (123)
* E_form: -0.306 eV per atom
* total DFT energy (no corrections): -3.139 eV per atom
* excess energy over the best structure of this formula in the dataset: 0.481 eV per formula unit



Entry 3:
Computed, not measured: an optimized crystal structure of BaLiZn2Pt2 at the PBE level of DFT.

The structure in POSCAR format:
```
BaLiZn2Pt2
1.0
4.3918 0.0000 0.0000
-2.1959 3.8034 0.0000
0.0000 0.0000 7.5529
Ba Li Zn Pt
1 1 2 2
direct
0.0000 0.0000 0.0000
0.0000 0.0000 0.5000
0.3333 0.6667 0.3466
0.6667 0.3333 0.6534
0.3333 0.6667 0.6973
0.6667 0.3333 0.3027
```

Calculated values
* space group: P-3m1 (164)
* E_form: -0.609 eV per atom
* total DFT energy (no corrections): -3.687 eV per atom



Entry 4:
Computed, not measured: an optimized crystal structure of Ba2LiZnPt at the PBE level of DFT.

The structure in POSCAR format:
```
Ba2LiZnPt
1.0
6.1673 0.0000 0.0000
0.0000 6.1673 0.0000
0.0000 0.0000 4.9867
Ba Li Zn Pt
2 1 1 1
direct
0.0000 0.5000 0.0000
0.5000 0.0000 0.0000
0.0000 0.0000 0.5000
0.5000 0.5000 0.5000
0.5000 0.5000 0.0000
```

Calculated values
* space group: P4/mmm (123)
* E_form: -0.326 eV per atom
* total DFT energy (no corrections): -2.940 eV per atom
* excess energy over the best structure of this formula in the dataset: 0.000 eV per formula unit